## Rb2PmMgI6 (PBE)

Data for an optimized crystal structure of Rb2PmMgI6.

Structure (POSCAR):
```
Rb2PmMgI6
1.0
8.850 0.000 0.000
0.000 12.382 0.000
0.000 0.000 8.782
Rb Pm Mg I
4 2 2 12
direct
0.250 0.034 0.208 Rb
0.250 0.466 0.208 Rb
0.750 0.534 0.792 Rb
0.750 0.966 0.792 Rb
0.250 0.250 0.731 Pm
0.750 0.750 0.269 Pm
0.250 0.750 0.760 Mg
0.750 0.250 0.240 Mg
0.010 0.750 0.026 I
0.017 0.250 0.464 I
0.250 0.000 0.773 I
0.250 0.500 0.773 I
0.483 0.250 0.464 I
0.490 0.750 0.026 I
0.510 0.250 0.974 I
0.517 0.750 0.536 I
0.750 0.000 0.227 I
0.750 0.500 0.227 I
0.983 0.750 0.536 I
0.990 0.250 0.974 I
```

Computed properties:
D(E_F) in states/eV/f.u.: 3.01
Raw total energy in eV per atom: -2.9483
SG: Pmmn, No. 59
Formation energy without anion corrections in eV per atom: -1.190

## MgP2Cl (PBE)

Data for an optimized crystal structure of MgP2Cl.

Structure (POSCAR):
```
MgP2Cl
1.0
3.681 0.000 0.000
0.000 3.681 0.000
0.000 0.000 22.715
Mg P Cl
4 8 4
direct
0.000 0.000 0.000 Mg
0.000 0.500 0.250 Mg
0.500 0.000 0.750 Mg
0.500 0.500 0.500 Mg
0.175 0.250 0.125 P
0.250 0.675 0.375 P
0.250 0.825 0.875 P
0.325 0.250 0.625 P
0.675 0.750 0.625 P
0.750 0.175 0.875 P
0.750 0.325 0.375 P
0.825 0.750 0.125 P
0.000 0.000 0.500 Cl
0.000 0.500 0.750 Cl
0.500 0.000 0.250 Cl
0.500 0.500 0.000 Cl
```

Computed properties:
D(E_F) in states/eV/f.u.: 0.99
Raw total energy in eV per atom: -3.9199
SG: I-42d, No. 122
Formation energy without anion corrections in eV per atom: -0.355
Distance to the lowest polymorph of the same formula in eV/atom: 0.221

Question: Which formula does entry 1 have?
Answer: Rb2PmMgI6

Question: The lowest raw total energy belongs to which entry?
Answer: MgP2Cl